Density functional theory data (PBE+U) for crystalline Pr2NiAsO6 at its relaxed geometry.

Output
Symmetry: P2_1/c
Total DFT energy (no corrections): -6.87 eV/atom

a = 5.5281 Å, b = 5.7409 Å, c = 9.6198 Å
α = 90.00°, β = 124.89°, γ = 90.00°
Element x y z (fractional)
Pr (0.2349, 0.0578, 0.2495)
Pr (0.2349, 0.4422, 0.7495)
Pr (0.7651, 0.5578, 0.2505)
Pr (0.7651, 0.9422, 0.7505)
Ni (0.0000, 0.0000, 0.5000)
Ni (0.0000, 0.5000, 0.0000)
As (0.5000, 0.0000, 0.0000)
As (0.5000, 0.5000, 0.5000)
O (0.1644, 0.1991, 0.9537)
O (0.1644, 0.3009, 0.4537)
O (0.2533, 0.7113, 0.9512)
O (0.2533, 0.7887, 0.4512)
O (0.3454, 0.0259, 0.7550)
O (0.3454, 0.4741, 0.2550)
O (0.6546, 0.5259, 0.7450)
O (0.6546, 0.9741, 0.2450)
O (0.7467, 0.2113, 0.5488)
O (0.7467, 0.2887, 0.0488)
O (0.8356, 0.6991, 0.5463)
O (0.8356, 0.8009, 0.0463)